(1)
Below is a relaxed Co2MoHIr crystal, with properties calculated at the GGA-PBE level.

Values from the calculation:
The calculation puts the energy above the most stable polymorph in this dataset at 504 kJ/mol of formula units. The value obtained for the total energy is -32.114 eV for the cell shown.

```
data_Co2MoHIr
_chemical_formula_sum 'Co2 Mo1 H1 Ir1'
_space_group_name_H-M_alt 'P 1'
_space_group_IT_number 1
_cell_length_a 4.4696
_cell_length_b 3.1706
_cell_length_c 4.4696
_cell_angle_alpha 90.00
_cell_angle_beta 90.00
_cell_angle_gamma 90.00
loop_
_space_group_symop_operation_xyz
'x,y,z'
loop_
_atom_site_label
_atom_site_fract_x
_atom_site_fract_y
_atom_site_fract_z
_atom_site_occupancy
H1 0.0000 0.5000 0.0000 1
Mo1 0.0000 0.0000 0.0000 1
Ir1 0.5000 0.5000 0.5000 1
Co1 0.0000 0.0000 0.5000 1
Co2 0.5000 0.0000 0.0000 1
```

***

(2)
Below is a relaxed La6TbNdTm2 crystal, with properties calculated at the GGA-PBE level.

Values from the calculation:
The formation energy is 102 meV per atom. The value obtained for the total energy is -93.777 eV for the cell shown.

```
data_La6TbNdTm2
_chemical_formula_sum 'La12 Tb2 Nd2 Tm4'
_space_group_name_H-M_alt 'P 1'
_space_group_IT_number 1
_cell_length_a 9.8913
_cell_length_b 9.0067
_cell_length_c 9.0067
_cell_angle_alpha 117.54
_cell_angle_beta 94.57
_cell_angle_gamma 94.57
loop_
_space_group_symop_operation_xyz
'x,y,z'
loop_
_atom_site_label
_atom_site_fract_x
_atom_site_fract_y
_atom_site_fract_z
_atom_site_occupancy
La1 0.0535 0.1052 0.7585 1
La2 0.4465 0.2415 0.8948 1
La3 0.9465 0.8948 0.2415 1
La4 0.5535 0.7585 0.1052 1
La5 0.3108 0.9906 0.4368 1
La6 0.1892 0.5632 0.0094 1
La7 0.6892 0.0094 0.5632 1
La8 0.8108 0.4368 0.9906 1
La9 0.1220 0.7032 0.4919 1
La10 0.3780 0.5081 0.2968 1
La11 0.8780 0.2968 0.5081 1
La12 0.6220 0.4919 0.7032 1
Tb1 0.2500 0.9725 0.0275 1
Tb2 0.7500 0.0275 0.9725 1
Nd1 0.2500 0.4075 0.5925 1
Nd2 0.7500 0.5925 0.4075 1
Tm1 0.4530 0.8056 0.7127 1
Tm2 0.0470 0.2873 0.1945 1
Tm3 0.5470 0.1945 0.2873 1
Tm4 0.9530 0.7127 0.8056 1
```

***

(3)
Below is a relaxed TaMn2SiH crystal, with properties calculated at the GGA-PBE level.

Values from the calculation:
The value obtained for the total energy is -39.864 eV for the cell shown.

```
data_TaMn2SiH
_chemical_formula_sum 'Ta1 Mn2 Si1 H1'
_space_group_name_H-M_alt 'P 1'
_space_group_IT_number 1
_cell_length_a 3.7523
_cell_length_b 3.7523
_cell_length_c 3.9981
_cell_angle_alpha 90.00
_cell_angle_beta 90.00
_cell_angle_gamma 90.00
loop_
_space_group_symop_operation_xyz
'x,y,z'
loop_
_atom_site_label
_atom_site_fract_x
_atom_site_fract_y
_atom_site_fract_z
_atom_site_occupancy
H1 0.0000 0.0000 0.0000 1
Si1 0.5000 0.5000 0.5000 1
Mn1 0.0000 0.5000 0.0000 1
Mn2 0.5000 0.0000 0.0000 1
Ta1 0.0000 0.0000 0.5000 1
```

***

(4)
Below is a relaxed Cs3CeCl8 crystal, with properties calculated at the GGA-PBE level.

Values from the calculation:
The calculation puts the energy above the most stable polymorph in this dataset at 0 kJ/mol of formula units. The value obtained for the total energy is -44.468 eV for the cell shown. The calculation puts the uncorrected formation energy at -1.7667 eV per atom.

```
data_Cs3CeCl8
_chemical_formula_sum 'Cs3 Ce1 Cl8'
_space_group_name_H-M_alt 'P 1'
_space_group_IT_number 1
_cell_length_a 8.6868
_cell_length_b 8.5457
_cell_length_c 8.6868
_cell_angle_alpha 59.45
_cell_angle_beta 90.00
_cell_angle_gamma 120.55
loop_
_space_group_symop_operation_xyz
'x,y,z'
loop_
_atom_site_label
_atom_site_fract_x
_atom_site_fract_y
_atom_site_fract_z
_atom_site_occupancy
Cs1 0.7500 0.5000 0.7500 1
Cs2 0.2500 0.5000 0.2500 1
Cs3 0.5000 0.0000 0.5000 1
Ce1 0.0000 0.0000 0.0000 1
Cl1 0.3256 0.4090 0.9165 1
Cl2 0.0835 0.4090 0.6744 1
Cl3 0.6744 0.5910 0.3256 1
Cl4 0.9165 0.5910 0.0835 1
Cl5 0.7352 0.9013 0.8339 1
Cl6 0.1661 0.9013 0.2648 1
Cl7 0.2648 0.0987 0.7352 1
Cl8 0.8339 0.0987 0.1661 1
```

***

(5)
Below is a relaxed Nd3Tm4Th2 crystal, with properties calculated at the GGA-PBE level.

Values from the calculation:
The formation energy is 123 meV per atom. The value obtained for the total energy is -45.924 eV for the cell shown.

```
data_Nd3Tm4Th2
_chemical_formula_sum 'Nd3 Tm4 Th2'
_space_group_name_H-M_alt 'P 1'
_space_group_IT_number 1
_cell_length_a 3.4615
_cell_length_b 6.1205
_cell_length_c 14.7254
_cell_angle_alpha 78.25
_cell_angle_beta 90.00
_cell_angle_gamma 106.43
loop_
_space_group_symop_operation_xyz
'x,y,z'
loop_
_atom_site_label
_atom_site_fract_x
_atom_site_fract_y
_atom_site_fract_z
_atom_site_occupancy
Nd1 0.3580 0.7161 0.6585 1
Nd2 0.0000 0.0000 0.0000 1
Nd3 0.6420 0.2839 0.3415 1
Tm1 0.7040 0.4081 0.1046 1
Tm2 0.1234 0.2467 0.5577 1
Tm3 0.8766 0.7533 0.4423 1
Tm4 0.2960 0.5919 0.8954 1
Th1 0.4058 0.8116 0.2229 1
Th2 0.5942 0.1884 0.7771 1
```

***

(6)
Below is a relaxed SrLi9Ac2 crystal, with properties calculated at the GGA-PBE level.

Values from the calculation:
The formation energy is 44 meV per atom. The value obtained for the total energy is -26.589 eV for the cell shown.

```
data_SrLi9Ac2
_chemical_formula_sum 'Sr1 Li9 Ac2'
_space_group_name_H-M_alt 'P 1'
_space_group_IT_number 1
_cell_length_a 6.1914
_cell_length_b 6.1914
_cell_length_c 10.6235
_cell_angle_alpha 73.06
_cell_angle_beta 73.06
_cell_angle_gamma 60.00
loop_
_space_group_symop_operation_xyz
'x,y,z'
loop_
_atom_site_label
_atom_site_fract_x
_atom_site_fract_y
_atom_site_fract_z
_atom_site_occupancy
Sr1 0.0000 0.0000 0.0000 1
Li1 0.6678 0.6678 0.9966 1
Li2 0.3322 0.3322 0.0034 1
Li3 0.5000 0.5000 0.5000 1
Li4 0.4181 0.4181 0.2446 1
Li5 0.9192 0.4181 0.2446 1
Li6 0.4181 0.9192 0.2446 1
Li7 0.5819 0.5819 0.7554 1
Li8 0.5819 0.0808 0.7554 1
Li9 0.0808 0.5819 0.7554 1
Ac1 0.8558 0.8558 0.4327 1
Ac2 0.1442 0.1442 0.5673 1
```

***

(7)
Below is a relaxed BaIrCl2 crystal, with properties calculated at the GGA-PBE level.

Values from the calculation:
The calculation puts the energy above the most stable polymorph in this dataset at 263 kJ/mol of formula units. The value obtained for the total energy is -15.032 eV for the cell shown. The calculation puts the uncorrected formation energy at -0.1388 eV per atom.

```
data_BaIrCl2
_chemical_formula_sum 'Ba1 Ir1 Cl2'
_space_group_name_H-M_alt 'P 1'
_space_group_IT_number 1
_cell_length_a 3.6264
_cell_length_b 3.6264
_cell_length_c 11.3671
_cell_angle_alpha 90.00
_cell_angle_beta 90.00
_cell_angle_gamma 90.00
loop_
_space_group_symop_operation_xyz
'x,y,z'
loop_
_atom_site_label
_atom_site_fract_x
_atom_site_fract_y
_atom_site_fract_z
_atom_site_occupancy
Ir1 0.5000 0.5000 0.2500 1
Ba1 0.5000 0.5000 0.7500 1
Cl1 0.0000 0.0000 0.9041 1
Cl2 0.0000 0.0000 0.5959 1
```

***

(8)
Below is a relaxed Tb2CeFe9 crystal, with properties calculated at the GGA-PBE level.

Values from the calculation:
The formation energy is -42 meV per atom. The value obtained for the total energy is -91.865 eV for the cell shown.

```
data_Tb2CeFe9
_chemical_formula_sum 'Tb2 Ce1 Fe9'
_space_group_name_H-M_alt 'P 1'
_space_group_IT_number 1
_cell_length_a 5.0778
_cell_length_b 5.0778
_cell_length_c 8.7231
_cell_angle_alpha 73.08
_cell_angle_beta 73.08
_cell_angle_gamma 60.00
loop_
_space_group_symop_operation_xyz
'x,y,z'
loop_
_atom_site_label
_atom_site_fract_x
_atom_site_fract_y
_atom_site_fract_z
_atom_site_occupancy
Tb1 0.8584 0.8584 0.4249 1
Tb2 0.1416 0.1416 0.5751 1
Ce1 0.0000 0.0000 0.0000 1
Fe1 0.6676 0.6676 0.9973 1
Fe2 0.3324 0.3324 0.0027 1
Fe3 0.5000 0.5000 0.5000 1
Fe4 0.4186 0.4186 0.2466 1
Fe5 0.9163 0.4186 0.2466 1
Fe6 0.4186 0.9163 0.2466 1
Fe7 0.5814 0.5814 0.7534 1
Fe8 0.5814 0.0837 0.7534 1
Fe9 0.0837 0.5814 0.7534 1
```

***

(9)
Below is a relaxed Na3In7Ag2 crystal, with properties calculated at the GGA-PBE level.

Values from the calculation:
The formation energy is -57 meV per atom. The value obtained for the total energy is -29.507 eV for the cell shown.

```
data_Na3In7Ag2
_chemical_formula_sum 'Na3 In7 Ag2'
_space_group_name_H-M_alt 'P 1'
_space_group_IT_number 1
_cell_length_a 6.2636
_cell_length_b 6.2636
_cell_length_c 10.1491
_cell_angle_alpha 72.03
_cell_angle_beta 72.03
_cell_angle_gamma 60.00
loop_
_space_group_symop_operation_xyz
'x,y,z'
loop_
_atom_site_label
_atom_site_fract_x
_atom_site_fract_y
_atom_site_fract_z
_atom_site_occupancy
Na1 0.0000 0.0000 0.0000 1
Na2 0.8575 0.8575 0.4274 1
Na3 0.1425 0.1425 0.5726 1
In1 0.5000 0.5000 0.5000 1
In2 0.9279 0.4146 0.2428 1
In3 0.4146 0.9279 0.2428 1
In4 0.4146 0.4146 0.2428 1
In5 0.0721 0.5854 0.7572 1
In6 0.5854 0.5854 0.7572 1
In7 0.5854 0.0721 0.7572 1
Ag1 0.6641 0.6641 0.0077 1
Ag2 0.3359 0.3359 0.9923 1
```

***

(10)
Below is a relaxed Sm6Ge2As3S crystal, with properties calculated at the GGA-PBE level.

Values from the calculation:
The value obtained for the total energy is -71.990 eV for the cell shown. The calculation puts the uncorrected formation energy at -1.3637 eV per atom.

```
data_Sm6Ge2As3S
_chemical_formula_sum 'Sm6 Ge2 As3 S1'
_space_group_name_H-M_alt 'P 1'
_space_group_IT_number 1
_cell_length_a 4.1626
_cell_length_b 8.4345
_cell_length_c 9.3769
_cell_angle_alpha 102.85
_cell_angle_beta 102.82
_cell_angle_gamma 90.00
loop_
_space_group_symop_operation_xyz
'x,y,z'
loop_
_atom_site_label
_atom_site_fract_x
_atom_site_fract_y
_atom_site_fract_z
_atom_site_occupancy
Sm1 0.3352 0.9198 0.6704 1
Sm2 0.6658 0.5860 0.3315 1
Sm3 0.6648 0.0802 0.3296 1
Sm4 0.0002 0.2492 0.0004 1
Sm5 0.9998 0.7508 0.9996 1
Sm6 0.3342 0.4140 0.6685 1
Ge1 0.8342 0.6682 0.6684 1
Ge2 0.1658 0.3318 0.3316 1
As1 0.5000 0.5000 0.0000 1
As2 0.8347 0.1656 0.6694 1
As3 0.1653 0.8344 0.3306 1
S1 0.5000 0.0000 0.0000 1
```

***

(11)
Below is a relaxed Ho2Tl3BiSe6 crystal, with properties calculated at the GGA-PBE level.

Values from the calculation:
The value obtained for the total energy is -53.907 eV for the cell shown. The calculation puts the uncorrected formation energy at -1.0721 eV per atom.

```
data_Ho2Tl3BiSe6
_chemical_formula_sum 'Ho2 Tl3 Bi1 Se6'
_space_group_name_H-M_alt 'P 1'
_space_group_IT_number 1
_cell_length_a 7.3094
_cell_length_b 7.3094
_cell_length_c 8.1098
_cell_angle_alpha 98.63
_cell_angle_beta 98.63
_cell_angle_gamma 120.01
loop_
_space_group_symop_operation_xyz
'x,y,z'
loop_
_atom_site_label
_atom_site_fract_x
_atom_site_fract_y
_atom_site_fract_z
_atom_site_occupancy
Ho1 0.3331 0.6669 0.0000 1
Ho2 0.6669 0.3331 0.0000 1
Tl1 0.1654 0.8346 0.5000 1
Tl2 0.8346 0.1654 0.5000 1
Tl3 0.5000 0.5000 0.5000 1
Bi1 0.0000 0.0000 0.0000 1
Se1 0.9311 0.5886 0.7933 1
Se2 0.7260 0.7260 0.2061 1
Se3 0.0689 0.4114 0.2067 1
Se4 0.5886 0.9311 0.7933 1
Se5 0.2740 0.2740 0.7939 1
Se6 0.4114 0.0689 0.2067 1
```

***

(12)
Below is a relaxed Rb2VFeCl6 crystal, with properties calculated at the GGA-PBE level.

Values from the calculation:
The value obtained for the total energy is -43.535 eV for the cell shown. The calculation puts the uncorrected formation energy at -1.2939 eV per atom.

```
data_Rb2VFeCl6
_chemical_formula_sum 'Rb2 V1 Fe1 Cl6'
_space_group_name_H-M_alt 'P 1'
_space_group_IT_number 1
_cell_length_a 7.3413
_cell_length_b 7.3413
_cell_length_c 6.9009
_cell_angle_alpha 57.87
_cell_angle_beta 57.87
_cell_angle_gamma 90.00
loop_
_space_group_symop_operation_xyz
'x,y,z'
loop_
_atom_site_label
_atom_site_fract_x
_atom_site_fract_y
_atom_site_fract_z
_atom_site_occupancy
Cl1 0.2442 0.2442 0.5116 1
Cl2 0.7558 0.7558 0.4884 1
Cl3 0.2591 0.2591 0.0000 1
Cl4 0.7409 0.7409 0.0000 1
Cl5 0.7409 0.2591 0.0000 1
Cl6 0.2591 0.7409 0.0000 1
Fe1 0.0000 0.0000 0.0000 1
Rb1 0.7500 0.2500 0.5000 1
Rb2 0.2500 0.7500 0.5000 1
V1 0.5000 0.5000 0.0000 1
```